Below is crystalline Re3CCl at its relaxed geometry, with properties calculated at the PBE-GGA level.

Cell lengths 4.144, 4.144, 4.144 Å; angles 90.00, 90.00, 90.00 degrees
Element x y z (fractional)
Re 0.000 0.000 0.500
Re 0.000 0.500 0.000
Re 0.500 0.000 0.000
C 0.000 0.000 0.000
Cl 0.500 0.500 0.500

**Total DFT energy (no corrections)**: -41.9 eV per formula unit
**Crystal system**: cubic

Below is crystalline ErLuAlPd at its relaxed geometry, with properties calculated at the PBE-GGA level.

Cell lengths 4.981, 4.981, 4.981 Å; angles 60.00, 60.00, 60.00 degrees
Element x y z (fractional)
Er 0.000 0.000 0.000
Lu 0.500 0.500 0.500
Al 0.250 0.250 0.250
Pd 0.750 0.750 0.750

**Total DFT energy (no corrections)**: -20.5 eV per formula unit
**DFT formation energy**: -0.611 eV/atom
**Crystal system**: cubic

Below is crystalline ZrAsRh2 at its relaxed geometry, with properties calculated at the PBE-GGA level.

Cell lengths 4.911, 4.911, 4.911 Å; angles 132.49, 131.34, 70.37 degrees
Element x y z (fractional)
Zr 0.000 0.000 0.000
As 0.500 0.500 0.000
Rh 0.253 0.753 0.500
Rh 0.747 0.247 0.500

**Total DFT energy (no corrections)**: -30.7 eV per formula unit
**DFT formation energy**: -0.708 eV/atom
**Crystal system**: orthorhombic

Asked for V across the records above, the calculation gives 14.23, 21.84, 16.07 Å³ per atom in order.